No. 1
Density functional theory data (PBE) for Fe2IrCl after structural relaxation.

The final energy comes out at -0.4601 Ry/atom. The calculation puts the excess energy over the best structure of this formula in the dataset at 519.7 meV/atom. Its space-group type is Immm. The value obtained for the raw formation energy is 0.648 eV per atom.

a b c (Å): 5.0541 5.0541 5.0541
angles (deg): 147.22 127.27 63.49
Closest atoms and distances in Å follow each position.
Positions (direct):
Fe 0.4839 0.4839 0.0000  2 Cl 2.47, 4 Fe 2.67, 2 Ir 2.70
Fe 0.0161 0.0161 0.0000  2 Cl 2.47, 4 Fe 2.67, 2 Ir 2.70
Cl 0.2500 0.7500 0.5000  4 Fe 2.47, 4 Ir 2.66
Ir 0.7500 0.2500 0.5000  4 Cl 2.66, 4 Fe 2.70, 2 Ir 2.85

---

No. 2
Density functional theory data (PBE) for BaNaNdS3 after structural relaxation.

The final energy comes out at -0.3785 Ry/atom. Its space-group type is P2_1/m. The value obtained for the raw formation energy is -1.750 eV per atom.

a b c (Å): 4.2891 8.8100 9.2305
angles (deg): 104.85 90.00 90.00
Closest atoms and distances in Å follow each position.
Positions (direct):
Na 0.2500 0.0897 0.5841  4 S 2.62-2.75, 2 Na 2.87
Na 0.7500 0.9103 0.4159  4 S 2.62-2.75, 2 Na 2.87
S 0.2500 0.7670 0.4850  3 Na 2.65-2.75, 1 Nd 2.88
S 0.7500 0.4484 0.1571  3 Nd 2.86-2.89
S 0.7500 0.8805 0.1258  1 Na 2.62, 2 Nd 2.91
S 0.2500 0.5516 0.8429  3 Nd 2.86-2.89
S 0.2500 0.1195 0.8742  1 Na 2.62, 2 Nd 2.91
S 0.7500 0.2330 0.5150  3 Na 2.65-2.75, 1 Nd 2.88
Ba 0.2500 0.2042 0.2351  7 S 3.22-3.50
Ba 0.7500 0.7958 0.7649  7 S 3.22-3.50
Nd 0.2500 0.6702 0.1619  6 S 2.86-2.91
Nd 0.7500 0.3298 0.8381  6 S 2.86-2.91

---

No. 3
Density functional theory data (PBE) for ZnCr2MoN after structural relaxation.

The final energy comes out at -0.5916 Ry/atom. Its space-group type is P4/mmm. The value obtained for the raw formation energy is -0.113 eV per atom.

a b c (Å): 3.8396 3.8396 4.0709
angles (deg): 90.00 90.00 90.00
Closest atoms and distances in Å follow each position.
Positions (direct):
Zn 0.5000 0.5000 0.5000  4 Mo 2.72, 8 Cr 2.80
Mo 0.0000 0.0000 0.5000  2 N 2.04
Cr 0.5000 0.0000 0.0000  2 N 1.92
Cr 0.0000 0.5000 0.0000  2 N 1.92
N 0.0000 0.0000 0.0000  4 Cr 1.92, 2 Mo 2.04

---

> Which value of final energy does entry 3 give?

-0.5916 Ry/atom

---

Copy entry 1 word for word.
Density functional theory data (PBE) for Fe2IrCl after structural relaxation.

The final energy comes out at -0.4601 Ry/atom. The calculation puts the excess energy over the best structure of this formula in the dataset at 519.7 meV/atom. Its space-group type is Immm. The value obtained for the raw formation energy is 0.648 eV per atom.

a b c (Å): 5.0541 5.0541 5.0541
angles (deg): 147.22 127.27 63.49
Closest atoms and distances in Å follow each position.
Positions (direct):
Fe 0.4839 0.4839 0.0000  2 Cl 2.47, 4 Fe 2.67, 2 Ir 2.70
Fe 0.0161 0.0161 0.0000  2 Cl 2.47, 4 Fe 2.67, 2 Ir 2.70
Cl 0.2500 0.7500 0.5000  4 Fe 2.47, 4 Ir 2.66
Ir 0.7500 0.2500 0.5000  4 Cl 2.66, 4 Fe 2.70, 2 Ir 2.85